Record 1
A relaxed ZrTiVI2 crystal, computed with PBE.

Summary:
total magnetic moment	1.8	μB per formula unit
mass density	5.9	g/cm3
energy relative to the elements, uncorrected	0.968	eV/atom
raw total energy	-4.765	eV per atom
SG	P4/mmm (123)

```
ZrTiVI2
1.0
5.337 0.000 0.000
0.000 4.399 0.000
0.000 0.000 5.337
Zr I V Ti
1 2 1 1
direct
0.500 0.500 0.500
0.500 0.000 0.000
0.000 0.000 0.500
0.000 0.500 0.000
0.000 0.000 0.000
```



Record 2
A relaxed Na3Pb13 crystal, computed with PBE.

Summary:
total magnetic moment	0.0	μB per formula unit
mass density	9.4	g/cm3
ΔE_f	-1.5	kcal/mol of atoms
raw total energy	-3.327	eV per atom
SG	Amm2 (38)

```
Na3Pb13
1.0
7.048 0.027 0.000
0.001 7.048 0.000
0.000 0.000 9.841
Pb Na
13 3
direct
0.502 0.997 0.753
0.502 0.997 0.247
0.003 0.498 0.753
0.499 0.501 0.756
0.743 0.746 0.500
0.254 0.257 0.500
0.246 0.754 0.000
0.243 0.251 0.000
0.750 0.250 0.500
0.003 0.498 0.247
0.254 0.746 0.500
0.749 0.757 0.000
0.499 0.501 0.244
0.747 0.253 0.000
0.002 0.998 0.746
0.002 0.998 0.254
```



Record 3
A relaxed AcCo9Ge4 crystal, computed with PBE.

Summary:
total magnetic moment	7.2	μB per formula unit
mass density	9.2	g/cm3
ΔE_f	-5.8	kcal/mol of atoms
raw total energy	-6.430	eV per atom
SG	I4/mcm (140)

```
AcCo9Ge4
1.0
-5.146 4.869 3.634
-6.062 -4.433 -2.645
5.908 -3.567 4.423
Ge Co Ac
8 18 2
direct
0.203 0.049 0.752
0.951 0.451 0.248
0.451 0.297 0.248
0.703 0.203 0.752
0.297 0.797 0.248
0.049 0.549 0.752
0.549 0.703 0.752
0.797 0.951 0.248
0.798 0.298 0.354
0.566 0.299 0.000
0.298 0.556 0.354
0.799 0.066 0.000
0.444 0.944 0.646
0.202 0.702 0.646
0.556 0.056 0.354
0.201 0.934 0.000
0.701 0.566 0.000
0.934 0.799 0.000
0.056 0.798 0.354
0.434 0.701 0.000
0.000 0.500 0.000
0.702 0.444 0.646
0.299 0.434 0.000
0.066 0.201 0.000
0.944 0.202 0.646
0.500 0.000 0.000
0.750 0.750 0.500
0.250 0.250 0.500
```



Record 4
A relaxed Pr2DyHg5 crystal, computed with PBE.

Summary:
total magnetic moment	0.3	μB per formula unit
mass density	11.5	g/cm3
ΔE_f	-9.5	kcal/mol of atoms
raw total energy	-2.371	eV per atom
SG	I4/mmm (139)

```
Pr2DyHg5
1.0
-3.493 3.653 1.383
0.621 -1.312 5.035
7.058 3.962 -2.566
Hg Dy Pr
5 1 2
direct
0.116 0.616 0.233
0.500 0.500 0.000
0.384 0.884 0.767
0.884 0.384 0.767
0.616 0.116 0.233
0.000 0.000 0.000
0.264 0.264 0.529
0.736 0.736 0.471
```



Record 5
A relaxed Tl crystal, computed with PBE.

Summary:
total magnetic moment	0.0	μB per formula unit
E above lowest polymorph	3.23	kcal/mol of atoms
mass density	10.1	g/cm3
ΔE_f	3.2	kcal/mol of atoms
raw total energy	-2.226	eV per atom
SG	Pm-3m (221)

```
Tl
1.0
-2.301 2.013 1.030
-1.038 0.365 -3.033
-2.009 -2.494 0.387
Tl
1
direct
0.000 0.000 0.000
```



Record 6
A relaxed ThFeTcGe2 crystal, computed with PBE.

Summary:
total magnetic moment	1.6	μB per formula unit
mass density	9.7	g/cm3
ΔE_f	-10.2	kcal/mol of atoms
raw total energy	-7.540	eV per atom
SG	I-4m2 (119)

```
ThFeTcGe2
1.0
4.172 0.000 0.000
0.000 4.172 0.000
-2.086 -2.086 5.208
Ge Th Tc Fe
2 1 1 1
direct
0.373 0.373 0.747
0.627 0.627 0.253
0.000 0.000 0.000
0.250 0.750 0.500
0.750 0.250 0.500
```



Record 7
A relaxed Rb2PrTiO4 crystal, computed with PBE.

Summary:
total magnetic moment	0.6	μB per formula unit
mass density	4.0	g/cm3
energy relative to the elements, uncorrected	-2.373	eV/atom
raw total energy	-6.678	eV per atom
SG	I-4 (82)

```
Rb2PrTiO4
1.0
-4.680 3.961 0.312
-1.544 -5.858 0.992
4.240 0.708 4.383
O Rb Pr Ti
4 2 1 1
direct
0.918 0.474 0.167
0.307 0.833 0.750
0.082 0.250 0.557
0.693 0.443 0.526
0.000 0.000 0.000
0.500 0.750 0.250
0.500 0.250 0.750
0.000 0.500 0.500
```



Record 8
A relaxed PmNdSc3 crystal, computed with PBE.

Summary:
total magnetic moment	0.0	μB per formula unit
mass density	5.0	g/cm3
ΔE_f	1.5	kcal/mol of atoms
raw total energy	-5.638	eV per atom
SG	C2/m (12)

```
PmNdSc3
1.0
4.881 0.000 0.000
-2.440 8.663 -0.219
0.000 -0.969 6.711
Sc Pm Nd
6 2 2
direct
0.997 0.995 0.756
0.003 0.005 0.244
0.803 0.606 0.656
0.197 0.394 0.344
0.406 0.812 0.957
0.594 0.188 0.043
0.600 0.200 0.543
0.400 0.800 0.457
0.801 0.601 0.153
0.199 0.399 0.847
```